Below is MnClF after structural relaxation, with properties calculated at the GGA+U level.

The value obtained for the relative energy among the computed polymorphs is 0.240 eV/atom. Its total energy is -0.20131 hartree per atom.

The structure belongs to space group F-43m (No. 216); the cell edges are 5.870, 5.870 and 5.870 Å and the angles 90.00°, 90.00° and 90.00°. The inequivalent atoms are Mn at (0.000, 0.000, 0.000), Cl at (0.250, 0.250, 0.750) and F at (0.250, 0.250, 0.250).